A relaxed KLa2Ta crystal, computed with PBE-GGA.

a = 7.5213 Å, b = 7.5213 Å, c = 7.5213 Å
α = 107.87°, β = 107.87°, γ = 112.73°
Element x y z (fractional)
K  0.0000  0.0000  0.0000
K  0.7500  0.2500  0.5000
La  0.2431  0.6250  0.1181
La  0.3750  0.4931  0.6181
La  0.5069  0.1250  0.8819
La  0.8750  0.7569  0.3819
Ta  0.2500  0.7500  0.5000
Ta  0.5000  0.5000  0.0000

Computed properties:
Energy relative to the elements ... 96.4 kJ per mole of atoms
SG ... I-42d

=====

A relaxed La4Pr2Sm5 crystal, computed with PBE-GGA.

a = 9.2447 Å, b = 9.2447 Å, c = 11.9915 Å
α = 94.58°, β = 94.58°, γ = 22.49°
Element x y z (fractional)
La  0.0360  0.0360  0.2619
La  0.3596  0.3596  0.2016
La  0.6404  0.6404  0.7984
La  0.9640  0.9640  0.7381
Pr  0.2848  0.2848  0.6444
Pr  0.7152  0.7152  0.3556
Sm  0.0957  0.0957  0.5408
Sm  0.1778  0.1778  0.0703
Sm  0.5000  0.5000  0.0000
Sm  0.8222  0.8222  0.9297
Sm  0.9043  0.9043  0.4592

Computed properties:
Energy relative to the elements ... 6.8 kJ per mole of atoms
SG ... C2/m

=====

A relaxed MgReBr crystal, computed with PBE-GGA.

a = 11.5880 Å, b = 11.5880 Å, c = 11.5880 Å
α = 162.46°, β = 162.46°, γ = 24.91°
Element x y z (fractional)
Mg  0.1069  0.1069  0.0000
Mg  0.8931  0.8931  0.0000
Re  0.0000  0.5000  0.5000
Re  0.5000  0.0000  0.5000
Br  0.3314  0.3314  0.0000
Br  0.6686  0.6686  0.0000

Computed properties:
Uncorrected formation energy ... -217 meV/atom
SG ... I4/mmm

=====

A relaxed BaPaC crystal, computed with PBE-GGA.

a = 3.8889 Å, b = 3.8889 Å, c = 12.7707 Å
α = 100.98°, β = 100.98°, γ = 61.63°
Element x y z (fractional)
Ba  0.0999  0.0999  0.3272
Ba  0.9001  0.9001  0.6728
Pa  0.3287  0.3287  0.0914
Pa  0.6713  0.6713  0.9086
C  0.3046  0.3046  0.8506
C  0.6954  0.6954  0.1494

Computed properties:
Energy relative to the elements ... 16.2 kJ per mole of atoms
SG ... C2/m

=====

A relaxed SbPdCl2 crystal, computed with PBE-GGA.

a = 4.8669 Å, b = 4.8669 Å, c = 4.8669 Å
α = 60.00°, β = 60.00°, γ = 60.00°
Element x y z (fractional)
Sb  0.0000  0.0000  0.0000
Pd  0.5000  0.5000  0.5000
Cl  0.2500  0.2500  0.2500
Cl  0.7500  0.7500  0.7500

Computed properties:
Uncorrected formation energy ... 99 meV/atom
SG ... Fm-3m

=====

A relaxed PmGaBiPb crystal, computed with PBE-GGA.

a = 5.4864 Å, b = 5.4864 Å, c = 5.4864 Å
α = 60.00°, β = 60.00°, γ = 60.00°
Element x y z (fractional)
Pm  0.0000  0.0000  0.0000
Ga  0.2500  0.2500  0.2500
Bi  0.7500  0.7500  0.7500
Pb  0.5000  0.5000  0.5000

Computed properties:
Energy relative to the elements ... -19.5 kJ per mole of atoms
SG ... F-43m